# 1
Density functional theory data (PBE) for crystalline YB3Rh at its relaxed geometry. Values from VASP.

As for the crystal system: cubic. The density of states at the Fermi level is 0.902 states/eV/atom.

Geometry as Quantum ESPRESSO input:
```
&SYSTEM
  ibrav = 0, nat = 5, ntyp = 3
/
ATOMIC_SPECIES
B 10.81 B.upf
Rh 102.91 Rh.upf
Y 88.91 Y.upf
ATOMIC_POSITIONS angstrom
B 2.1909 0.0000 0.0000
B 0.0000 2.1909 0.0000
B 0.0000 0.0000 2.1909
Rh 2.1909 2.1909 2.1909
Y 0.0000 0.0000 0.0000
CELL_PARAMETERS angstrom
4.3817 0.0000 0.0000
0.0000 4.3817 0.0000
0.0000 0.0000 4.3817
```



# 2
Density functional theory data (PBE) for crystalline YB2Rh7 at its relaxed geometry. Values from VASP.

As for the crystal system: orthorhombic. The density of states at the Fermi level is 1.317 states/eV/atom.

Geometry as Quantum ESPRESSO input:
```
&SYSTEM
  ibrav = 0, nat = 10, ntyp = 3
/
ATOMIC_SPECIES
Y 88.91 Y.upf
Rh 102.91 Rh.upf
B 10.81 B.upf
ATOMIC_POSITIONS angstrom
Y 0.0000 0.0000 0.0000
Rh 2.0721 -0.5194 1.8895
Rh 2.0721 1.7547 5.5414
Rh 0.0000 3.6658 1.8173
Rh 0.0000 0.0138 4.0915
Rh 2.0721 4.1990 4.0193
Rh 2.0721 1.8398 2.9544
Rh 2.0721 1.9249 0.3674
B 2.0721 0.0089 4.0945
B 2.0721 3.6706 1.8143
CELL_PARAMETERS angstrom
4.1442 0.0000 0.0000
0.0000 6.3472 0.1475
0.0000 -2.6677 5.7613
```



For reference, uncorrected energy by record: -4.279 -7.213 eV/atom.
For reference, energy of formation by record: 2.4904 -0.0852 eV/atom.
For reference, V by record: 84 153 Å³/cell.